Here is a relaxed Y2TaPt crystal from Alexandria. Energies are from GGA-PBEsol.

## Properties
* E_tot: -0.632 Ry per atom
* energy relative to the lowest polymorph listed for this composition: 0.000 eV per atom

abc: 3.2592 3.2592 8.6303
angles: 90.00 90.00 90.00
Closest atoms and distances in Å follow each position.
Fractional positions:
Y 0.0000 0.0000 0.0000  4 Ta 3.14, 4 Y 3.26
Y 0.5000 0.5000 0.3565  4 Pt 3.07, 4 Y 3.26, 1 Ta 3.42
Ta 0.5000 0.5000 0.7529  4 Pt 2.69
Pt 0.0000 0.0000 0.5911  4 Ta 2.69

***

Here is a relaxed YTaPt crystal from Alexandria. Energies are from GGA-PBEsol.

## Properties
* E_tot: -0.625 Ry per atom

abc: 4.4817 4.4817 4.4817
angles: 60.00 60.00 60.00
Closest atoms and distances in Å follow each position.
Fractional positions:
Y 0.0000 0.0000 0.0000  4 Ta 2.74
Ta 0.7500 0.7500 0.7500  4 Pt 2.74, 4 Y 2.74
Pt 0.5000 0.5000 0.5000  4 Ta 2.74

***

Here is a relaxed YTa2Pt crystal from Alexandria. Energies are from GGA-PBEsol.

## Properties
* E_tot: -0.726 Ry per atom

abc: 3.3693 4.4820 4.9521
angles: 90.00 90.00 90.00
Closest atoms and distances in Å follow each position.
Fractional positions:
Y 0.0000 0.0000 0.0000  4 Pt 2.80, 4 Ta 2.99
Ta 0.0000 0.5000 0.5000  4 Ta 2.80, 4 Pt 2.99
Ta 0.5000 0.0000 0.5000  4 Ta 2.80, 4 Y 2.99
Pt 0.5000 0.5000 0.0000  4 Y 2.80, 4 Ta 2.99

***

Here is a relaxed YTaPt2 crystal from Alexandria. Energies are from GGA-PBEsol.

## Properties
* E_tot: -0.666 Ry per atom

abc: 3.2471 3.2471 7.0668
angles: 90.00 90.00 90.00
Closest atoms and distances in Å follow each position.
Fractional positions:
Y 0.0000 0.0000 0.0000  8 Pt 3.09, 4 Y 3.25
Ta 0.0000 0.0000 0.5000  8 Pt 2.72
Pt 0.5000 0.5000 0.2928  4 Ta 2.72, 1 Pt 2.93
Pt 0.5000 0.5000 0.7072  4 Ta 2.72, 1 Pt 2.93

***

Here is a relaxed YTaPt2 crystal from Alexandria. Energies are from GGA-PBEsol.

## Properties
* E_tot: -0.651 Ry per atom

abc: 5.2157 5.2157 5.2157
angles: 134.64 134.64 66.10
Closest atoms and distances in Å follow each position.
Fractional positions:
Y 0.0000 0.0000 0.0000  8 Pt 2.84-2.97, 4 Ta 2.97
Ta 0.2500 0.7500 0.5000  8 Pt 2.84-2.97, 4 Y 2.97
Pt 0.5000 0.5000 0.0000  4 Y 2.84, 4 Pt 2.97, 4 Ta 2.97
Pt 0.7500 0.2500 0.5000  4 Ta 2.84, 4 Pt 2.97, 4 Y 2.97

***

Here is a relaxed YTaPt2 crystal from Alexandria. Energies are from GGA-PBEsol.

## Properties
* E_tot: -0.661 Ry per atom

abc: 4.9723 4.9723 2.8977
angles: 90.00 90.00 90.00
Closest atoms and distances in Å follow each position.
Fractional positions:
Y 0.0000 0.0000 0.0000  8 Pt 2.88, 2 Y 2.90
Ta 0.5000 0.5000 0.0000  8 Pt 2.88, 2 Ta 2.90
Pt 0.0000 0.5000 0.5000  4 Ta 2.88, 4 Y 2.88, 2 Pt 2.90
Pt 0.5000 0.0000 0.5000  4 Ta 2.88, 4 Y 2.88, 2 Pt 2.90

***

Here is a relaxed YTa3Pt crystal from Alexandria. Energies are from GGA-PBEsol.

## Properties
* E_tot: -0.579 Ry per atom

abc: 4.7116 4.7116 4.7116
angles: 90.00 90.00 90.00
Closest atoms and distances in Å follow each position.
Fractional positions:
Y 0.0000 0.0000 0.0000  6 Ta 2.36
Ta 0.0000 0.0000 0.5000  2 Y 2.36
Ta 0.0000 0.5000 0.0000  2 Y 2.36
Ta 0.5000 0.0000 0.0000  2 Y 2.36
Pt 0.5000 0.5000 0.5000  12 Ta 3.33

***

Here is a relaxed Y2TaPt crystal from Alexandria. Energies are from GGA-PBEsol.

## Properties
* E_tot: -0.614 Ry per atom
* energy relative to the lowest polymorph listed for this composition: 0.245 eV per atom

abc: 5.7563 5.7563 5.7563
angles: 138.08 138.08 60.78
Closest atoms and distances in Å follow each position.
Fractional positions:
Y 0.0000 0.0000 0.0000  4 Pt 2.91, 4 Ta 3.23, 4 Y 3.23
Y 0.7500 0.2500 0.5000  4 Ta 2.91, 4 Pt 3.23, 4 Y 3.23
Ta 0.2500 0.7500 0.5000  8 Y 2.91-3.23, 4 Pt 3.23
Pt 0.5000 0.5000 0.0000  8 Y 2.91-3.23, 4 Ta 3.23

***

Here is a relaxed TaZnPt2 crystal from Alexandria. Energies are from GGA-PBEsol.

## Properties
* E_tot: -0.551 Ry per atom

abc: 4.4379 4.4379 4.4379
angles: 60.00 60.00 60.00
Closest atoms and distances in Å follow each position.
Fractional positions:
Ta 0.0000 0.0000 0.0000  8 Pt 2.72
Zn 0.5000 0.5000 0.5000  8 Pt 2.72
Pt 0.2500 0.2500 0.2500  4 Ta 2.72, 4 Zn 2.72
Pt 0.7500 0.7500 0.7500  4 Ta 2.72, 4 Zn 2.72

***

Here is a relaxed TaZnPt2 crystal from Alexandria. Energies are from GGA-PBEsol.

## Properties
* E_tot: -0.547 Ry per atom

abc: 2.8063 4.0305 5.4315
angles: 90.00 90.00 90.00
Closest atoms and distances in Å follow each position.
Fractional positions:
Ta 0.0000 0.0000 0.0000  6 Pt 2.60-2.83, 2 Ta 2.81
Zn 0.5000 0.5000 0.2953  6 Pt 2.65-2.74, 2 Zn 2.81, 4 Ta 2.93
Pt 0.0000 0.0000 0.4788  2 Ta 2.60-2.83, 4 Zn 2.65, 2 Pt 2.81
Pt 0.5000 0.5000 0.7912  2 Zn 2.69-2.74, 4 Ta 2.70, 6 Pt 2.81-2.98

***

Here is a relaxed TaZnPt crystal from Alexandria. Energies are from GGA-PBEsol.

## Properties
* E_tot: -0.552 Ry per atom

abc: 4.3595 4.3595 2.7440
angles: 90.00 90.00 120.00
Closest atoms and distances in Å follow each position.
Fractional positions:
Ta 0.0000 0.0000 0.0000  2 Ta 2.74, 6 Pt 2.87, 6 Zn 2.87
Zn 0.6667 0.3333 0.5000  3 Pt 2.52, 2 Zn 2.74
Pt 0.3333 0.6667 0.5000  3 Zn 2.52, 2 Pt 2.74

***

Here is a relaxed TaZn2Pt crystal from Alexandria. Energies are from GGA-PBEsol.

## Properties
* E_tot: -0.441 Ry per atom

abc: 2.8418 2.8418 7.3047
angles: 90.00 90.00 90.00
Closest atoms and distances in Å follow each position.
Fractional positions:
Ta 0.0000 0.0000 0.0000  4 Zn 2.76, 4 Pt 2.80, 4 Ta 2.84
Zn 0.0000 0.0000 0.4918  8 Zn 2.63-2.84, 4 Pt 2.68
Zn 0.5000 0.5000 0.2597  8 Zn 2.63-2.84, 4 Ta 2.76
Pt 0.5000 0.5000 0.7336  4 Zn 2.68, 4 Ta 2.80, 4 Pt 2.84

***

no.,E_form (eV/atom)
1,-0.307
2,0.273
3,-0.150
4,-0.733
5,-0.534
6,-0.669
7,2.412
8,-0.062
9,-0.482
10,-0.434
11,-0.474
12,-0.332